[1]
{
  "formula": "LiTb2GeO5",
  "functional": "GGA-PBE",
  "state": "optimized geometry",
  "e_form_raw_ev_per_atom": -2.3328,
  "spacegroup": "No. 127",
  "lattice_angstrom": [[-4.0207, 3.6798, -1.8135], [-3.0426, -4.8697, -3.1355], [-3.5460, -1.2341, 5.3577]],
  "species": ["Li", "O", "Tb", "Li", "O", "O", "Ge", "O", "O", "Ge", "O", "Tb", "O", "O", "Tb", "O", "O", "Tb"],
  "frac_coords": [[0.0000, 0.5000, 0.5000], [0.7527, 0.8614, 0.3614], [0.5000, 0.1770, 0.3230], [0.0000, 0.0000, 0.0000], [0.7527, 0.3614, 0.1386], [0.2473, 0.1386, 0.6386], [0.0000, 0.0000, 0.5000], [0.5000, 0.0000, 0.0000], [0.2473, 0.3614, 0.1386], [0.0000, 0.5000, 0.0000], [0.2473, 0.8614, 0.3614], [0.5000, 0.3230, 0.8230], [0.7527, 0.6386, 0.8614], [0.5000, 0.5000, 0.5000], [0.5000, 0.6770, 0.1770], [0.2473, 0.6386, 0.8614], [0.7527, 0.1386, 0.6386], [0.5000, 0.8230, 0.6770]]
}

[2]
{
  "formula": "LiTbGe2O6",
  "functional": "GGA-PBE",
  "state": "optimized geometry",
  "e_form_raw_ev_per_atom": -2.2444,
  "spacegroup": "No. 15",
  "lattice_angstrom": [[-5.6741, 0.4625, 0.6095], [-2.6855, -4.3199, -4.9542], [-1.7029, -5.0193, 4.7248]],
  "species": ["Ge", "O", "Tb", "O", "O", "O", "O", "Ge", "O", "Ge", "O", "Li", "Ge", "O", "O", "O", "Tb", "O", "O", "Li"],
  "frac_coords": [[0.7107, 0.2207, 0.3872], [0.6039, 0.1403, 0.6214], [0.7500, 0.1155, 0.8845], [0.3364, 0.1991, 0.0407], [0.9692, 0.3164, 0.4009], [0.1039, 0.6214, 0.1403], [0.8364, 0.0407, 0.1991], [0.2893, 0.7793, 0.6128], [0.1636, 0.9593, 0.8009], [0.7893, 0.6128, 0.7793], [0.8961, 0.3786, 0.8597], [0.2500, 0.2292, 0.7708], [0.2107, 0.3872, 0.2207], [0.3961, 0.8597, 0.3786], [0.6636, 0.8009, 0.9593], [0.0308, 0.6836, 0.5991], [0.2500, 0.8845, 0.1155], [0.5308, 0.5991, 0.6836], [0.4692, 0.4009, 0.3164], [0.7500, 0.7708, 0.2292]]
}

[3]
{
  "formula": "Li2TbGeO4",
  "functional": "GGA-PBE",
  "state": "optimized geometry",
  "e_form_raw_ev_per_atom": -2.1954,
  "spacegroup": "No. 8",
  "lattice_angstrom": [[3.9148, 0.0020, 0.0000], [-0.0023, 4.5603, -0.2111], [-1.9562, -2.4799, 5.3315]],
  "species": ["O", "Li", "O", "Tb", "Ge", "O", "Li", "O"],
  "frac_coords": [[0.4943, 0.0277, 0.9885], [0.3057, 0.8362, 0.6115], [0.9449, 0.4606, 0.8899], [0.5457, 0.5876, 0.0913], [0.7622, 0.2840, 0.5244], [0.7552, 0.6735, 0.5105], [0.9597, 0.9825, 0.9195], [0.2322, 0.1479, 0.4644]]
}

[4]
{
  "formula": "LiGe2TeO6",
  "functional": "GGA-PBE",
  "state": "optimized geometry",
  "e_form_raw_ev_per_atom": -1.4117,
  "spacegroup": "No. 15",
  "lattice_angstrom": [[-4.6263, 2.9480, -1.0223], [-2.6149, -3.1380, -5.7184], [-4.9305, -3.5722, 3.5091]],
  "species": ["O", "O", "O", "Te", "O", "O", "Li", "O", "Te", "O", "Ge", "O", "O", "O", "O", "Ge", "Ge", "Li", "Ge", "O"],
  "frac_coords": [[0.1556, 0.9916, 0.8065], [0.3652, 0.8862, 0.3783], [0.9736, 0.3211, 0.3686], [0.2500, 0.2734, 0.7266], [0.3444, 0.1935, 0.0084], [0.4736, 0.3686, 0.3211], [0.2500, 0.9089, 0.0911], [0.5264, 0.6314, 0.6789], [0.7500, 0.7266, 0.2734], [0.8652, 0.3783, 0.8862], [0.2350, 0.3749, 0.1875], [0.8444, 0.0084, 0.1935], [0.1348, 0.6217, 0.1138], [0.6348, 0.1138, 0.6217], [0.6556, 0.8065, 0.9916], [0.7650, 0.6251, 0.8125], [0.2650, 0.8125, 0.6251], [0.7500, 0.0911, 0.9089], [0.7350, 0.1875, 0.3749], [0.0264, 0.6789, 0.6314]]
}

[5]
{
  "formula": "LiGeTe2O6",
  "functional": "GGA-PBE",
  "state": "optimized geometry",
  "e_form_raw_ev_per_atom": -1.1580,
  "spacegroup": "No. 15",
  "lattice_angstrom": [[-7.9830, -0.7067, -3.6087], [-3.0488, -6.2249, -0.0961], [-5.4415, -1.0070, 4.1749]],
  "species": ["Li", "O", "O", "O", "O", "Te", "Ge", "Ge", "O", "O", "O", "Te", "O", "Li", "O", "O", "O", "Te", "O", "Te"],
  "frac_coords": [[0.2500, 0.8120, 0.1880], [0.1413, 0.7979, 0.5205], [0.8587, 0.2021, 0.4795], [0.2212, 0.1602, 0.0853], [0.7212, 0.0853, 0.1602], [0.4121, 0.6242, 0.7596], [0.7500, 0.7789, 0.2211], [0.2500, 0.2211, 0.7789], [0.0183, 0.4179, 0.7480], [0.4817, 0.2520, 0.5821], [0.5183, 0.7480, 0.4179], [0.5879, 0.3758, 0.2404], [0.6413, 0.5205, 0.7979], [0.7500, 0.1880, 0.8120], [0.9817, 0.5821, 0.2520], [0.3587, 0.4795, 0.2021], [0.7788, 0.8398, 0.9147], [0.9121, 0.7596, 0.6242], [0.2788, 0.9147, 0.8398], [0.0879, 0.2404, 0.3758]]
}

[6]
{
  "formula": "LiGe2TeO8",
  "functional": "GGA-PBE",
  "state": "optimized geometry",
  "e_form_raw_ev_per_atom": -1.0106,
  "spacegroup": "No. 119",
  "lattice_angstrom": [[5.6245, 0.1748, 0.0000], [-2.3380, 5.1185, 0.0000], [-1.6433, -2.6467, 4.6862]],
  "species": ["Li", "O", "O", "O", "O", "O", "O", "Ge", "O", "Te", "Ge", "O"],
  "frac_coords": [[0.0000, 0.0000, 0.0000], [0.3145, 0.5152, 0.2008], [0.8863, 0.6855, 0.2008], [0.3572, 0.0439, 0.3134], [0.9561, 0.6428, 0.6866], [0.3145, 0.1137, 0.7992], [0.9561, 0.2695, 0.3134], [0.7500, 0.2500, 0.5000], [0.4848, 0.6855, 0.7992], [0.2500, 0.7500, 0.5000], [0.5000, 0.5000, 0.0000], [0.7305, 0.0439, 0.6866]]
}

[7]
{
  "formula": "Li2TiGeO5",
  "functional": "GGA-PBE",
  "state": "optimized geometry",
  "e_form_raw_ev_per_atom": -2.3269,
  "spacegroup": "No. 129",
  "lattice_angstrom": [[-2.1099, -5.8293, 2.4251], [6.3105, -1.8658, 1.0052], [-0.1371, 1.7900, 4.1834]],
  "species": ["O", "Li", "O", "Ti", "O", "O", "Li", "Ge", "O", "O", "O", "Ti", "Li", "O", "O", "Ge", "Li", "O"],
  "frac_coords": [[0.2136, 0.0000, 0.7684], [0.2500, 0.2500, 0.5000], [0.5000, 0.0000, 0.2727], [0.0000, 0.5000, 0.1042], [0.7136, 0.5000, 0.2316], [0.0000, 0.5000, 0.7273], [0.2500, 0.7500, 0.5000], [0.5000, 0.5000, 0.0000], [0.0000, 0.7864, 0.2316], [0.5000, 0.2864, 0.7684], [0.2864, 0.5000, 0.2316], [0.5000, 0.0000, 0.8958], [0.7500, 0.2500, 0.5000], [0.0000, 0.2136, 0.2316], [0.5000, 0.7136, 0.7684], [0.0000, 0.0000, 0.0000], [0.7500, 0.7500, 0.5000], [0.7864, 0.0000, 0.7684]]
}

[8]
{
  "formula": "LiTi2GeO",
  "functional": "GGA-PBE",
  "state": "optimized geometry",
  "e_form_raw_ev_per_atom": 0.6009,
  "spacegroup": "No. 123",
  "lattice_angstrom": [[-2.2675, 2.6605, 3.2619], [2.7430, -1.3696, 3.0239], [2.9057, 3.6701, -0.9735]],
  "species": ["Ge", "Ti", "Li", "O", "Ti"],
  "frac_coords": [[0.0000, 0.0000, 0.0000], [0.0000, 0.0000, 0.5000], [0.0000, 0.5000, 0.0000], [0.5000, 0.5000, 0.5000], [0.5000, 0.0000, 0.0000]]
}